[1]
# NiB3W4 PBE optimized geometry
# **Total energy**: -155.80 eV per cell
data_NiB3W4
_symmetry_space_group_name_H-M 'P 63/m m c'
_symmetry_Int_Tables_number 194
_symmetry_space_group_name_Hall '-P 6c 2c'
_cell_length_a 3.1066
_cell_length_b 3.1066
_cell_length_c 23.2032
_cell_angle_alpha 90.00
_cell_angle_beta 90.00
_cell_angle_gamma 120.00
loop_
_atom_site_label
_atom_site_type_symbol
_atom_site_fract_x
_atom_site_fract_y
_atom_site_fract_z
Ni1 Ni 0.3333 0.6667 0.2500
B1 B 0.0000 0.0000 0.0000
B2 B 0.3333 0.6667 0.6140
W1 W 0.0000 0.0000 0.1655
W2 W 0.3333 0.6667 0.0586

[2]
# Li2CdIr PBE optimized geometry
# **Total energy**: -55.49 eV per cell
data_Li2CdIr
_symmetry_space_group_name_H-M 'F -4 3 m'
_symmetry_Int_Tables_number 216
_symmetry_space_group_name_Hall 'F -4 2 3'
_cell_length_a 6.266
_cell_length_b 6.266
_cell_length_c 6.266
_cell_angle_alpha 90.00
_cell_angle_beta 90.00
_cell_angle_gamma 90.00
loop_
_atom_site_label
_atom_site_type_symbol
_atom_site_fract_x
_atom_site_fract_y
_atom_site_fract_z
Li1 Li 0.000 0.000 0.000
Li2 Li 0.250 0.250 0.250
Cd1 Cd 0.000 0.000 0.500
Ir1 Ir 0.250 0.250 0.750

[3]
# KAg3SnO4 PBE optimized geometry
# **Total energy**: -38.59 eV per cell
data_KAg3SnO4
_symmetry_space_group_name_H-M 'P -4 3 m'
_symmetry_Int_Tables_number 215
_symmetry_space_group_name_Hall 'P -4 2 3'
_cell_length_a 5.754
_cell_length_b 5.754
_cell_length_c 5.754
_cell_angle_alpha 90.00
_cell_angle_beta 90.00
_cell_angle_gamma 90.00
loop_
_atom_site_label
_atom_site_type_symbol
_atom_site_fract_x
_atom_site_fract_y
_atom_site_fract_z
K1 K 0.000 0.000 0.000
Ag1 Ag 0.000 0.500 0.500
Sn1 Sn 0.500 0.500 0.500
O1 O 0.297 0.297 0.297

[4]
# NdGdSn2 PBE optimized geometry
# **Total energy**: -34.50 eV per cell
data_NdGdSn2
_symmetry_space_group_name_H-M 'A m m 2'
_symmetry_Int_Tables_number 38
_cell_length_a 3.369
_cell_length_b 6.321
_cell_length_c 12.412
_cell_angle_alpha 90.00
_cell_angle_beta 90.00
_cell_angle_gamma 90.00
loop_
_symmetry_equiv_pos_as_xyz
'x,y,z'
'-x,-y,z'
'-x,y,z'
'x,-y,z'
'x,y+1/2,z+1/2'
'-x,-y+1/2,z+1/2'
'-x,y+1/2,z+1/2'
'x,-y+1/2,z+1/2'
loop_
_atom_site_label
_atom_site_type_symbol
_atom_site_fract_x
_atom_site_fract_y
_atom_site_fract_z
Nd1 Nd 0.000 0.000 0.000
Gd1 Gd 0.000 0.000 0.281
Sn1 Sn 0.000 0.000 0.525
Sn2 Sn 0.000 0.000 0.752

Which of these has the highest total energy?
NdGdSn2